# KRb2Ti

A geometry-optimized KRb2Ti structure (PBE, the Alexandria database).

Lattice parameters (Å, degrees): 11.065 11.065 8.165 90.00 90.00 90.00
Space group I-42d (No. 122)
Unique sites:
K (0.000, 0.000, 0.000)
Rb (0.220, 0.250, 0.625)
Ti (0.000, 0.000, 0.500)

Properties
energy relative to the lowest polymorph listed for this composition	69	meV/atom